# 1
Computed, not measured: LiDySn2Rh4 after structural relaxation at the PBE-GGA level of DFT.

a b c (Å): 7.9362 7.9362 7.9362
angles (deg): 33.22 33.22 33.22
Element x y z (fractional)
Li: 0.0000 0.0000 0.0000
Dy: 0.5000 0.5000 0.5000
Sn: 0.2551 0.2551 0.2551
Sn: 0.7449 0.7449 0.7449
Rh: 0.1195 0.1195 0.1195
Rh: 0.3739 0.3739 0.3739
Rh: 0.6261 0.6261 0.6261
Rh: 0.8805 0.8805 0.8805

Computed properties:
ΔH_f (0 K) ... -5.4 eV per formula unit
Magnetic moment ... 0.00 μB/cell
Final energy ... -6.1697 eV per atom
Mass density ... 10.17 g/cm3
Symmetry ... R-3m

=====

# 2
Computed, not measured: LaReAu after structural relaxation at the PBE-GGA level of DFT.

a b c (Å): 4.8955 4.8955 4.8955
angles (deg): 60.00 60.00 60.00
Element x y z (fractional)
La: 0.0000 0.0000 0.0000
Re: 0.2500 0.2500 0.2500
Au: 0.7500 0.7500 0.7500

Computed properties:
ΔH_f (0 K) ... 3.5 eV per formula unit
Magnetic moment ... 2.91 μB/cell
Final energy ... -5.7272 eV per atom
Mass density ... 10.45 g/cm3
Symmetry ... F-43m

=====

# 3
Computed, not measured: CsTi2BeBi after structural relaxation at the PBE-GGA level of DFT.

a b c (Å): 5.0143 5.0143 6.1135
angles (deg): 90.00 90.00 90.00
Element x y z (fractional)
Cs: 0.0000 0.0000 0.0000
Ti: 0.0000 0.5000 0.0000
Ti: 0.5000 0.0000 0.0000
Be: 0.5000 0.5000 0.5000
Bi: 0.0000 0.0000 0.5000

Computed properties:
ΔH_f (0 K) ... 12.2 eV per formula unit
Magnetic moment ... 1.63 μB/cell
Final energy ... -2.4037 eV per atom
Mass density ... 4.82 g/cm3
Symmetry ... P4/mmm

=====

Which formula does entry 3 have? CsTi2BeBi